[1]
DFT (PBE) results for ScTaGe2 after structural relaxation.

Structure (POSCAR):
```
ScTaGe2
1.0
-0.699 -3.332 1.547
-0.859 -2.924 -2.167
5.658 -3.581 -0.637
Ge Sc Ta
2 1 1
Direct
0.254 0.254 0.239
0.746 0.746 0.761
0.500 0.500 0.500
0.000 0.000 0.000
```

- Energy above the most stable polymorph in this dataset: 0 meV/atom
- V: 19.287 Å³ per atom


[2]
DFT (PBE) results for Rb6Au2SeI after structural relaxation.

Structure (POSCAR):
```
Rb6Au2SeI
1.0
-0.866 8.843 0.339
0.237 -0.336 9.351
12.504 2.106 -0.241
Se Rb Au I
2 12 4 2
Direct
0.500 0.000 0.500
0.000 0.500 0.000
0.671 0.287 0.602
0.829 0.787 0.898
0.185 0.162 0.454
0.348 0.911 0.737
0.171 0.213 0.102
0.652 0.089 0.263
0.685 0.338 0.954
0.315 0.662 0.046
0.815 0.838 0.546
0.152 0.411 0.763
0.329 0.713 0.398
0.848 0.589 0.237
0.978 0.070 0.722
0.522 0.570 0.778
0.022 0.930 0.278
0.478 0.430 0.222
0.500 0.000 0.000
0.000 0.500 0.500
```

- E_form (uncorrected): -668 meV per atom
- V: 52.649 Å³ per atom


[3]
DFT (PBE) results for Mn2InNi2 after structural relaxation.

Structure (POSCAR):
```
Mn2InNi2
1.0
3.239 0.000 0.000
0.000 3.239 0.000
1.619 1.619 6.374
Ni Mn In
2 2 1
Direct
0.396 0.396 0.207
0.604 0.604 0.793
0.250 0.750 0.500
0.750 0.250 0.500
0.000 0.000 0.000
```

- V: 13.371 Å³ per atom


[4]
DFT (PBE) results for TlC2 after structural relaxation.

Structure (POSCAR):
```
TlC2
1.0
-6.604 1.493 1.688
-2.537 6.498 -0.188
2.526 -6.005 -2.499
Tl C
2 4
Direct
0.668 0.418 0.250
0.332 0.582 0.750
0.969 0.219 0.750
0.142 0.892 0.250
0.858 0.108 0.750
0.031 0.781 0.250
```

- Energy above the most stable polymorph in this dataset: 402 meV/atom
- V: 17.089 Å³ per atom


[5]
DFT (PBE) results for NbCr2Br after structural relaxation.

Structure (POSCAR):
```
NbCr2Br
1.0
-4.732 -2.910 -4.615
5.044 -0.006 -5.169
0.955 -3.998 -4.109
Br Nb Cr
2 2 4
Direct
0.250 0.750 0.500
0.500 0.500 0.000
0.750 0.250 0.500
0.000 0.000 0.000
0.375 0.395 0.750
0.875 0.855 0.750
0.145 0.625 0.250
0.605 0.125 0.250
```

- E_form (uncorrected): 932 meV per atom
- Energy above the most stable polymorph in this dataset: 0 meV/atom
- V: 18.094 Å³ per atom


[6]
DFT (PBE) results for CrOs2Rh after structural relaxation.

Structure (POSCAR):
```
CrOs2Rh
1.0
4.323 0.000 0.000
2.161 3.744 0.000
2.161 1.248 3.529
Os Cr Rh
2 1 1
Direct
0.000 0.000 0.000
0.250 0.250 0.250
0.500 0.500 0.500
0.750 0.750 0.750
```

- Energy above the most stable polymorph in this dataset: 423 meV/atom
- V: 14.279 Å³ per atom


[7]
DFT (PBE) results for LiLa2Au2 after structural relaxation.

Structure (POSCAR):
```
LiLa2Au2
1.0
8.179 0.000 0.000
0.000 8.179 0.000
0.000 0.000 4.056
Au La Li
4 4 2
Direct
0.635 0.135 0.000
0.135 0.365 0.000
0.865 0.635 0.000
0.365 0.865 0.000
0.836 0.336 0.500
0.336 0.164 0.500
0.664 0.836 0.500
0.164 0.664 0.500
0.500 0.500 0.000
0.000 0.000 0.000
```

- Energy above the most stable polymorph in this dataset: 0 meV/atom
- V: 27.132 Å³ per atom


[8]
DFT (PBE) results for Tm3OsC3 after structural relaxation.

Structure (POSCAR):
```
Tm3OsC3
1.0
-1.068 -2.637 4.123
6.046 -2.847 -0.255
1.365 5.350 3.774
Tm C Os
6 6 2
Direct
0.250 0.595 0.835
0.750 0.835 0.595
0.250 0.108 0.892
0.750 0.405 0.165
0.750 0.892 0.108
0.250 0.165 0.405
0.750 0.586 0.836
0.750 0.164 0.414
0.250 0.836 0.586
0.750 0.120 0.880
0.250 0.414 0.164
0.250 0.880 0.120
0.750 0.309 0.691
0.250 0.691 0.309
```

- V: 15.750 Å³ per atom


[9]
DFT (PBE) results for Nd4Pd after structural relaxation.

Structure (POSCAR):
```
Nd4Pd
1.0
-3.309 4.272 1.694
-2.635 -3.474 3.614
3.766 1.324 4.017
Nd Pd
4 1
Direct
0.000 0.500 0.500
0.500 0.000 0.500
0.000 0.000 0.000
0.500 0.500 0.000
0.500 0.500 0.500
```

- Energy above the most stable polymorph in this dataset: 155 meV/atom
- V: 36.328 Å³ per atom


[10]
DFT (PBE) results for Pm2ErTmAs4 after structural relaxation.

Structure (POSCAR):
```
Pm2ErTmAs4
1.0
-2.249 -3.280 1.219
4.912 -1.495 5.038
-1.695 3.429 6.101
Er As Pm Tm
1 4 2 1
Direct
0.000 0.500 0.500
0.500 0.260 0.747
0.000 0.261 0.246
0.000 0.739 0.754
0.500 0.740 0.253
0.500 0.000 0.500
0.000 0.000 0.000
0.500 0.500 0.000
```

- V: 25.389 Å³ per atom


[11]
DFT (PBE) results for SiP2PbCl after structural relaxation.

Structure (POSCAR):
```
SiP2PbCl
1.0
4.582 0.000 0.000
0.000 4.582 0.000
0.000 0.000 6.484
P Si Cl Pb
2 1 1 1
Direct
0.000 0.500 0.000
0.500 0.000 0.000
0.000 0.000 0.000
0.000 0.000 0.500
0.500 0.500 0.500
```

- E_form (uncorrected): 362 meV per atom
- Energy above the most stable polymorph in this dataset: 0 meV/atom
- V: 27.224 Å³ per atom


[12]
DFT (PBE) results for InH12S2NO12 after structural relaxation.

Structure (POSCAR):
```
InH12S2NO12
1.0
-8.359 7.195 1.387
-0.552 -2.353 8.878
6.772 6.966 4.674
H O S N In
48 48 8 4 4
Direct
0.809 0.793 0.632
0.679 0.146 0.410
0.896 0.712 0.919
0.980 0.923 0.834
0.786 0.279 0.750
0.189 0.067 0.089
0.209 0.222 0.251
0.480 0.077 0.166
0.022 0.445 0.089
0.366 0.186 0.606
0.709 0.778 0.749
0.298 0.372 0.261
0.809 0.179 0.635
0.926 0.433 0.840
0.396 0.288 0.081
0.016 0.577 0.166
0.286 0.721 0.250
0.866 0.814 0.394
0.099 0.788 0.081
0.688 0.681 0.633
0.599 0.212 0.919
0.473 0.945 0.089
0.475 0.174 0.866
0.689 0.933 0.911
0.630 0.314 0.395
0.200 0.875 0.258
0.309 0.821 0.365
0.522 0.555 0.911
0.818 0.646 0.410
0.700 0.125 0.742
0.130 0.686 0.605
0.068 0.068 0.160
0.521 0.326 0.133
0.805 0.439 0.908
0.318 0.354 0.590
0.973 0.055 0.911
0.686 0.288 0.633
0.798 0.628 0.739
0.568 0.932 0.840
0.179 0.854 0.590
0.021 0.674 0.867
0.186 0.712 0.367
0.305 0.561 0.092
0.975 0.826 0.134
0.309 0.207 0.368
0.188 0.319 0.367
0.426 0.567 0.160
0.516 0.423 0.834
0.073 0.465 0.920
0.258 0.971 0.768
0.774 0.610 0.002
0.238 0.471 0.768
0.959 0.752 0.856
0.205 0.749 0.601
0.872 0.023 0.553
0.156 0.071 0.173
0.988 0.177 0.379
0.459 0.248 0.144
0.922 0.034 0.080
0.594 0.971 0.440
0.292 0.249 0.602
0.422 0.966 0.920
0.221 0.889 0.998
0.662 0.764 0.118
0.507 0.677 0.378
0.012 0.464 0.176
0.488 0.823 0.621
0.758 0.029 0.232
0.094 0.029 0.560
0.656 0.929 0.827
0.339 0.569 0.174
0.993 0.907 0.411
0.162 0.236 0.882
0.124 0.476 0.447
0.512 0.536 0.824
0.738 0.529 0.232
0.484 0.964 0.176
0.372 0.977 0.447
0.624 0.524 0.553
0.007 0.323 0.622
0.503 0.407 0.412
0.705 0.251 0.399
0.334 0.736 0.881
0.037 0.748 0.145
0.792 0.751 0.398
0.721 0.111 0.002
0.493 0.093 0.589
0.984 0.036 0.824
0.003 0.593 0.588
0.902 0.471 0.440
0.839 0.431 0.826
0.834 0.264 0.119
0.537 0.252 0.855
0.402 0.529 0.560
0.274 0.390 0.998
0.573 0.535 0.080
0.982 0.031 0.477
0.482 0.969 0.523
0.308 0.893 0.895
0.014 0.468 0.524
0.187 0.393 0.895
0.808 0.107 0.105
0.687 0.607 0.105
0.514 0.532 0.476
0.751 0.720 0.688
0.251 0.280 0.312
0.245 0.782 0.309
0.745 0.218 0.691
0.863 0.347 0.290
0.633 0.847 0.290
0.133 0.153 0.710
0.363 0.653 0.710
```

- V: 9.614 Å³ per atom


| no. | VASP energy (eV for the cell shown) |
| --- | --- |
| 1 | -29.0 |
| 2 | -48.2 |
| 3 | -31.2 |
| 4 | -33.8 |
| 5 | -54.5 |
| 6 | -37.6 |
| 7 | -43.3 |
| 8 | -110.3 |
| 9 | -24.6 |
| 10 | -49.2 |
| 11 | -20.0 |
| 12 | -602.4 |